Entry 1:
# TbSn6Te8 PBE optimized geometry
# total magnetic moment: 0.0 μB per formula unit
# uncorrected energy: -3.9442 eV/atom
data_TbSn6Te8
_cell_length_a 6.364
_cell_length_b 10.134
_cell_length_c 10.134
_cell_angle_alpha 120.00
_cell_angle_beta 90.00
_cell_angle_gamma 90.00
_symmetry_space_group_name_H-M 'P 1'
_symmetry_Int_Tables_number 1
_symmetry_space_group_name_Hall 'P 1'
loop_
_atom_site_label
_atom_site_type_symbol
_atom_site_fract_x
_atom_site_fract_y
_atom_site_fract_z
Tb1 Tb 0.500 0.000 0.000
Sn1 Sn 0.671 0.676 0.076
Sn2 Sn 0.671 0.924 0.600
Sn3 Sn 0.671 0.400 0.324
Sn4 Sn 0.329 0.324 0.924
Sn5 Sn 0.329 0.076 0.400
Sn6 Sn 0.329 0.600 0.676
Te1 Te 0.761 0.007 0.264
Te2 Te 0.761 0.736 0.743
Te3 Te 0.761 0.257 0.993
Te4 Te 0.239 0.993 0.736
Te5 Te 0.239 0.264 0.257
Te6 Te 0.239 0.743 0.007
Te7 Te 0.543 0.333 0.667
Te8 Te 0.457 0.667 0.333

***

Entry 2:
# V2Co6Re PBE optimized geometry
# polymorph energy (0 for the lowest one): 0 meV per atom
# total magnetic moment: 4.5 μB per formula unit
# uncorrected energy: -8.0407 eV/atom
data_V2Co6Re
_cell_length_a 6.183
_cell_length_b 4.532
_cell_length_c 4.532
_cell_angle_alpha 63.44
_cell_angle_beta 74.62
_cell_angle_gamma 74.62
_symmetry_space_group_name_H-M 'P 1'
_symmetry_Int_Tables_number 1
_symmetry_space_group_name_Hall 'P 1'
loop_
_atom_site_label
_atom_site_type_symbol
_atom_site_fract_x
_atom_site_fract_y
_atom_site_fract_z
V1 V 0.887 0.676 0.676
V2 V 0.113 0.324 0.324
Co1 Co 0.303 0.323 0.795
Co2 Co 0.444 0.777 0.777
Co3 Co 0.303 0.795 0.323
Co4 Co 0.697 0.677 0.205
Co5 Co 0.556 0.223 0.223
Co6 Co 0.697 0.205 0.677
Re1 Re 0.000 0.000 0.000

***

Entry 3:
# KFeP2 PBE optimized geometry
# polymorph energy (0 for the lowest one): 249 meV per atom
# total magnetic moment: 1.3 μB per formula unit
# uncorrected energy: -5.1045 eV/atom
data_KFeP2
_cell_length_a 5.391
_cell_length_b 5.391
_cell_length_c 5.391
_cell_angle_alpha 137.98
_cell_angle_beta 104.33
_cell_angle_gamma 90.55
_symmetry_space_group_name_H-M 'P 1'
_symmetry_Int_Tables_number 1
_symmetry_space_group_name_Hall 'P 1'
loop_
_atom_site_label
_atom_site_type_symbol
_atom_site_fract_x
_atom_site_fract_y
_atom_site_fract_z
Fe1 Fe 0.750 0.250 0.500
K1 K 0.250 0.750 0.500
P1 P 0.893 0.893 0.000
P2 P 0.607 0.607 0.000

***

- Number 2 is which compound?
  V2Co6Re

***

- Number 1 is which compound?
  TbSn6Te8